Record 1
Computed, not measured: a geometry-optimized Fe2TcMo4 structure at the PBE level of DFT.

Geometry as POSCAR:
```
Fe2TcMo4
1.0
4.645 0.000 0.000
0.000 4.645 0.000
0.000 0.000 11.922
Fe Tc Mo
4 2 8
direct
0.000 0.000 0.107 Fe
0.000 0.000 0.893 Fe
0.500 0.500 0.393 Fe
0.500 0.500 0.607 Fe
0.000 0.000 0.500 Tc
0.500 0.500 0.000 Tc
0.000 0.000 0.293 Mo
0.000 0.000 0.707 Mo
0.000 0.500 0.000 Mo
0.000 0.500 0.500 Mo
0.500 0.000 0.000 Mo
0.500 0.000 0.500 Mo
0.500 0.500 0.207 Mo
0.500 0.500 0.793 Mo
```

## Properties
The calculation puts the formation energy from the elements at 1507 meV per atom. For the volume, the calculation gives 18.4 Å³ per atom. For the density of states at the Fermi level, the calculation gives 19.44 states/eV/cell.

Record 2
Computed, not measured: a geometry-optimized FeTcMo2 structure at the PBE level of DFT.

Geometry as POSCAR:
```
FeTcMo2
1.0
2.721 0.000 0.000
-1.360 2.356 0.000
0.000 0.000 27.388
Fe Tc Mo
3 3 6
direct
0.000 0.000 0.000 Fe
0.333 0.667 0.667 Fe
0.667 0.333 0.333 Fe
0.000 0.000 0.258 Tc
0.333 0.667 0.925 Tc
0.667 0.333 0.592 Tc
0.000 0.000 0.505 Mo
0.000 0.000 0.747 Mo
0.333 0.667 0.172 Mo
0.333 0.667 0.414 Mo
0.667 0.333 0.080 Mo
0.667 0.333 0.839 Mo
```

## Properties
The calculation puts the formation energy from the elements at 272 meV per atom. Its excess energy over the best structure of this formula in the dataset is 0.169 eV per atom. For the volume, the calculation gives 14.6 Å³ per atom. For the density of states at the Fermi level, the calculation gives 9.06 states/eV/cell.

- Among the records above, which one has the lowest volume?
  FeTcMo2

- Number 1 is which compound?
  Fe2TcMo4

- Number 1 is which compound?
  Fe2TcMo4